VASP calculation (PBE with a Hubbard U) on a geometry-optimized PaNiTe2O8 structure. Values from VASP.

## Properties
- Density of states at the Fermi level: 4.03 states/eV per cell
- V: 16.694 A^3/atom
- Total magnetization: 1.9 μB/f.u.
- SG: P-3m1
- Uncorrected energy: -6.346 eV per atom

```
&SYSTEM
  ibrav = 0, nat = 12, ntyp = 4
/
ATOMIC_SPECIES
Pa 231.04 Pa.upf
Ni 58.69 Ni.upf
Te 127.60 Te.upf
O 16.00 O.upf
ATOMIC_POSITIONS angstrom
Pa 0.000 0.000 0.000
Ni 0.000 0.000 2.978
Te 0.000 3.598 1.453
Te 3.116 1.799 4.502
O 0.000 1.539 1.559
O -1.783 4.628 1.559
O 1.333 0.769 4.397
O 0.000 3.598 5.593
O 3.116 1.799 0.363
O 1.783 4.628 1.559
O 4.900 0.769 4.397
O 3.116 3.858 4.397
CELL_PARAMETERS angstrom
6.232 0.000 0.000
-3.116 5.397 0.000
0.000 0.000 5.955
```